Entry 1:
Density functional theory data (PBE-GGA) for a geometry-optimized CaMnOs2 structure.

Unit cell a=5.7914 b=5.7914 c=5.7914 alpha=101.81 beta=101.81 gamma=126.21
Closest atoms and distances in Å follow each position.
Fractional positions:
Ca (0.0000, 0.0000, 0.0000)  2 Mn 2.62
Ca (0.7500, 0.2500, 0.5000)  2 Mn 2.62
Mn (0.2500, 0.7500, 0.5000)  4 Os 2.35, 2 Ca 2.62
Mn (0.5000, 0.5000, 0.0000)  4 Os 2.35, 2 Ca 2.62
Os (0.1930, 0.6250, 0.0680)  2 Mn 2.35
Os (0.3750, 0.4430, 0.5680)  2 Mn 2.35
Os (0.5570, 0.1250, 0.9320)  2 Mn 2.35
Os (0.8750, 0.8070, 0.4320)  2 Mn 2.35

Properties
Formation energy from the elements   778.8 meV per atom
Symmetry   I-42d, No. 122
E   -30.52 eV per formula unit
Crystal system   tetragonal

Entry 2:
Density functional theory data (PBE-GGA) for a geometry-optimized CaMnOs2 structure.

Unit cell a=5.5431 b=5.5431 c=4.6617 alpha=113.94 beta=113.94 gamma=29.49
Closest atoms and distances in Å follow each position.
Fractional positions:
Ca (0.0000, 0.0000, 0.0000)  4 Mn 2.72, 2 Ca 2.82
Mn (0.5000, 0.5000, 0.5000)  4 Os 2.54, 4 Ca 2.72, 2 Mn 2.82
Os (0.2169, 0.2169, 0.7136)  2 Mn 2.54, 6 Os 2.76-2.83
Os (0.7831, 0.7831, 0.2864)  2 Mn 2.54, 6 Os 2.76-2.83

Properties
Formation energy from the elements   455.1 meV per atom
Symmetry   C2/m, No. 12
E   -31.81 eV per formula unit
Crystal system   monoclinic

Entry 3:
Density functional theory data (PBE-GGA) for a geometry-optimized CaMnOs2 structure.

Unit cell a=2.8226 b=4.3632 c=5.7276 alpha=90.00 beta=104.13 gamma=90.00
Closest atoms and distances in Å follow each position.
Fractional positions:
Ca (0.0000, 0.0000, 0.0000)  1 Os 2.77, 2 Ca 2.82, 4 Mn 2.97
Mn (0.6286, 0.5000, 0.2581)  4 Os 2.55-2.56, 2 Mn 2.82
Os (0.3177, 0.5000, 0.6401)  2 Mn 2.55, 6 Os 2.71-2.82
Os (0.7471, 0.0000, 0.5008)  2 Mn 2.56, 6 Os 2.71-2.82, 1 Ca 2.77

Properties
Formation energy from the elements   483.7 meV per atom
Symmetry   Pm, No. 6
E   -31.70 eV per formula unit
Crystal system   monoclinic

| no. | D(E_F) (states/eV/f.u.) |
| --- | --- |
| 1 | 4.9 |
| 2 | 4.0 |
| 3 | 3.2 |